Record 1
SrPtW2: relaxed, GGA-PBE.

Lattice parameters (Å, degrees): 4.7361 4.7361 4.7361 60.00 60.00 60.00
Element x y z (fractional)
Pt 0.5000 0.5000 0.5000
W 0.0000 0.0000 0.0000
W 0.7500 0.7500 0.7500
Sr 0.2500 0.2500 0.2500

## Properties
- Total magnetization: 0.0 μB/f.u.
- SG: F-43m, No. 216
- Energy relative to the lowest polymorph listed for this composition: 0.402 eV/atom
- ΔH_f (0 K): 0.73 eV per atom



Record 2
Er4GaRh: relaxed, GGA-PBE.

Lattice parameters (Å, degrees): 9.3987 9.3987 9.3987 60.00 60.00 60.00
Element x y z (fractional)
Rh 0.6060 0.6060 0.6060
Rh 0.6060 0.1821 0.6060
Rh 0.6060 0.6060 0.1821
Rh 0.1821 0.6060 0.6060
Er 0.3944 0.8168 0.3944
Er 0.3944 0.3944 0.8168
Er 0.5573 0.9427 0.5573
Er 0.9427 0.5573 0.9427
Er 0.8168 0.3944 0.3944
Er 0.1872 0.1872 0.8128
Er 0.9427 0.9427 0.5573
Er 0.8128 0.1872 0.1872
Er 0.8128 0.8128 0.1872
Er 0.5573 0.9427 0.9427
Er 0.5573 0.5573 0.9427
Er 0.8128 0.1872 0.8128
Er 0.9427 0.5573 0.5573
Er 0.1872 0.8128 0.8128
Er 0.3944 0.3944 0.3944
Er 0.1872 0.8128 0.1872
Ga 0.4982 0.1673 0.1673
Ga 0.1673 0.1673 0.4982
Ga 0.1673 0.4982 0.1673
Ga 0.1673 0.1673 0.1673

## Properties
- Total magnetization: 0.0 μB/f.u.
- SG: F-43m, No. 216
- Energy relative to the lowest polymorph listed for this composition: 0.000 eV/atom
- ΔH_f (0 K): -0.59 eV per atom



Record 3
LaEuHoCd: relaxed, GGA-PBE.

Lattice parameters (Å, degrees): 5.6140 5.6140 5.6140 60.00 60.00 60.00
Element x y z (fractional)
Ho 0.0000 0.0000 0.0000
Cd 0.7500 0.7500 0.7500
Eu 0.2500 0.2500 0.2500
La 0.5000 0.5000 0.5000

## Properties
- Total magnetization: 7.4 μB/f.u.
- SG: F-43m, No. 216
- ΔH_f (0 K): -0.02 eV per atom



Record 4
AlSeIN2: relaxed, GGA-PBE.

Lattice parameters (Å, degrees): 3.9583 3.9583 7.2093 90.00 90.00 90.00
Element x y z (fractional)
I 0.0000 0.0000 0.5000
N 0.5000 0.0000 0.0000
N 0.0000 0.5000 0.0000
Se 0.0000 0.0000 0.0000
Al 0.5000 0.5000 0.5000

## Properties
- E_form (uncorrected): 1.56 eV/atom
- Total magnetization: 1.0 μB/f.u.
- SG: P4/mmm, No. 123
- Energy relative to the lowest polymorph listed for this composition: 0.640 eV/atom



Record 5
Pr5RhS4: relaxed, GGA-PBE.

Lattice parameters (Å, degrees): 4.1228 4.1228 14.9123 97.95 97.95 90.00
Element x y z (fractional)
S 0.8018 0.8018 0.6035
S 0.3980 0.3980 0.7960
S 0.6020 0.6020 0.2040
S 0.1982 0.1982 0.3965
Rh 0.0000 0.0000 0.0000
Pr 0.2978 0.2978 0.5955
Pr 0.9009 0.9009 0.8017
Pr 0.5000 0.5000 0.0000
Pr 0.0991 0.0991 0.1983
Pr 0.7022 0.7022 0.4045

## Properties
- E_form (uncorrected): -1.71 eV/atom
- Total magnetization: 0.0 μB/f.u.
- SG: I4/mmm, No. 139



Record 6
GdTlZnCd: relaxed, GGA-PBE.

Lattice parameters (Å, degrees): 5.1039 5.1039 5.1039 60.00 60.00 60.00
Element x y z (fractional)
Cd 0.7500 0.7500 0.7500
Tl 0.0000 0.0000 0.0000
Zn 0.5000 0.5000 0.5000
Gd 0.2500 0.2500 0.2500

## Properties
- Total magnetization: 7.0 μB/f.u.
- SG: F-43m, No. 216
- ΔH_f (0 K): -0.21 eV per atom



- The highest total magnetization belongs to which entry?
  LaEuHoCd